(i)
## CdSnIN2 (PBE)

Data for a relaxed structure of CdSnIN2.

Cell: 4.531 4.531 6.142 Å, 90.00 90.00 90.00°
Element x y z (fractional)
Cd: 0.000 0.000 0.000
Sn: 0.500 0.500 0.500
I: 0.000 0.000 0.500
N: 0.000 0.500 0.000
N: 0.500 0.000 0.000

Properties
Volume (Å³/atom): 25.2
Magnetization (μB per formula unit): 2.77
N(E_F) (states/eV/f.u.): 1.93
ρ (Mg/m³): 5.08



(ii)
## CdSnIN2 (PBE)

Data for a relaxed structure of CdSnIN2.

Cell: 4.153 4.153 6.872 Å, 90.00 90.00 90.00°
Element x y z (fractional)
Cd: 0.000 0.000 0.000
Sn: 0.500 0.500 0.500
I: 0.500 0.500 0.000
N: 0.000 0.500 0.500
N: 0.500 0.000 0.500

Properties
Volume (Å³/atom): 23.7
Magnetization (μB per formula unit): 0.00
N(E_F) (states/eV/f.u.): 3.49
ρ (Mg/m³): 5.41



(ii) is favored, and the nearest alternative lies 367 meV/atom above it.



(i)
## CdSnI2N (PBE)

Data for a relaxed structure of CdSnI2N.

Cell: 6.169 6.169 3.919 Å, 90.00 90.00 90.00°
Element x y z (fractional)
Cd: 0.000 0.000 0.000
Sn: 0.500 0.500 0.500
I: 0.000 0.500 0.500
I: 0.500 0.000 0.500
N: 0.500 0.500 0.000

Properties
Volume (Å³/atom): 29.8
Magnetization (μB per formula unit): 0.00
N(E_F) (states/eV/f.u.): 4.44
ρ (Mg/m³): 5.55



(ii)
## CdSnI2N (PBE)

Data for a relaxed structure of CdSnI2N.

Cell: 6.141 6.141 4.174 Å, 90.00 90.00 90.00°
Element x y z (fractional)
Cd: 0.000 0.000 0.000
Sn: 0.500 0.500 0.500
I: 0.000 0.500 0.000
I: 0.500 0.000 0.000
N: 0.000 0.000 0.500

Properties
Volume (Å³/atom): 31.5
Magnetization (μB per formula unit): 1.45
N(E_F) (states/eV/f.u.): 2.00
ρ (Mg/m³): 5.26



(i) is favored, and the nearest alternative lies 139 meV/atom above it.



(i)
## CdTcI2N (PBE)

Data for a relaxed structure of CdTcI2N.

Cell: 5.667 5.667 3.784 Å, 90.00 90.00 90.00°
Element x y z (fractional)
Cd: 0.000 0.000 0.000
Tc: 0.500 0.500 0.500
I: 0.000 0.500 0.500
I: 0.500 0.000 0.500
N: 0.500 0.500 0.000

Properties
Volume (Å³/atom): 24.3
Magnetization (μB per formula unit): 0.00
N(E_F) (states/eV/f.u.): 4.51
ρ (Mg/m³): 6.53



(ii)
## CdTcI2N (PBE)

Data for a relaxed structure of CdTcI2N.

Cell: 6.080 6.080 4.131 Å, 90.00 90.00 90.00°
Element x y z (fractional)
Cd: 0.000 0.000 0.000
Tc: 0.500 0.500 0.500
I: 0.000 0.500 0.000
I: 0.500 0.000 0.000
N: 0.000 0.000 0.500

Properties
Volume (Å³/atom): 30.5
Magnetization (μB per formula unit): 6.24
N(E_F) (states/eV/f.u.): 2.16
ρ (Mg/m³): 5.20



(i) is favored, and the nearest alternative lies 1116 meV/atom above it.



(i)
## CdTcIN2 (PBE)

Data for a relaxed structure of CdTcIN2.

Cell: 4.097 4.097 6.055 Å, 90.00 90.00 90.00°
Element x y z (fractional)
Cd: 0.000 0.000 0.000
Tc: 0.500 0.500 0.500
I: 0.000 0.000 0.500
N: 0.000 0.500 0.000
N: 0.500 0.000 0.000

Properties
Volume (Å³/atom): 20.3
Magnetization (μB per formula unit): 0.61
N(E_F) (states/eV/f.u.): 9.62
ρ (Mg/m³): 5.97



(ii)
## CdTcIN2 (PBE)

Data for a relaxed structure of CdTcIN2.

Cell: 4.151 4.151 5.303 Å, 90.00 90.00 90.00°
Element x y z (fractional)
Cd: 0.000 0.000 0.000
Tc: 0.500 0.500 0.000
I: 0.500 0.500 0.500
N: 0.000 0.500 0.500
N: 0.500 0.000 0.500

Properties
Volume (Å³/atom): 18.3
Magnetization (μB per formula unit): 3.67
N(E_F) (states/eV/f.u.): 4.72
ρ (Mg/m³): 6.64



(ii) is favored, and the nearest alternative lies 296 meV/atom above it.



(i)
## CdTeIN2 (PBE)

Data for a relaxed structure of CdTeIN2.

Cell: 4.080 4.080 7.593 Å, 90.00 90.00 90.00°
Element x y z (fractional)
Cd: 0.000 0.000 0.000
Te: 0.500 0.500 0.000
I: 0.500 0.500 0.500
N: 0.000 0.500 0.500
N: 0.500 0.000 0.500

Properties
Volume (Å³/atom): 25.3
Magnetization (μB per formula unit): 0.00
N(E_F) (states/eV/f.u.): 3.66
ρ (Mg/m³): 5.19



(ii)
## CdTeIN2 (PBE)

Data for a relaxed structure of CdTeIN2.

Cell: 4.149 4.149 7.708 Å, 90.00 90.00 90.00°
Element x y z (fractional)
Cd: 0.000 0.000 0.000
Te: 0.500 0.500 0.500
I: 0.500 0.500 0.000
N: 0.000 0.500 0.500
N: 0.500 0.000 0.500

Properties
Volume (Å³/atom): 26.5
Magnetization (μB per formula unit): 0.00
N(E_F) (states/eV/f.u.): 2.29
ρ (Mg/m³): 4.94



(iii)
## CdTeIN2 (PBE)

Data for a relaxed structure of CdTeIN2.

Cell: 4.493 4.493 6.701 Å, 90.00 90.00 90.00°
Element x y z (fractional)
Cd: 0.000 0.000 0.000
Te: 0.500 0.500 0.500
I: 0.000 0.000 0.500
N: 0.000 0.500 0.000
N: 0.500 0.000 0.000

Properties
Volume (Å³/atom): 27.1
Magnetization (μB per formula unit): 4.25
N(E_F) (states/eV/f.u.): 3.01
ρ (Mg/m³): 4.85



(ii) is favored, and the nearest alternative lies 366 meV/atom above it.



(i)
## TiCdI2N (PBE)

Data for a relaxed structure of TiCdI2N.

Cell: 5.889 5.889 4.048 Å, 90.00 90.00 90.00°
Element x y z (fractional)
Ti: 0.000 0.000 0.000
Cd: 0.500 0.500 0.500
I: 0.000 0.500 0.500
I: 0.500 0.000 0.500
N: 0.500 0.500 0.000

Properties
Volume (Å³/atom): 28.1
Magnetization (μB per formula unit): 0.21
N(E_F) (states/eV/f.u.): 11.03
ρ (Mg/m³): 5.06



(ii)
## TiCdI2N (PBE)

Data for a relaxed structure of TiCdI2N.

Cell: 5.806 5.806 3.796 Å, 90.00 90.00 90.00°
Element x y z (fractional)
Ti: 0.000 0.000 0.000
Cd: 0.500 0.500 0.500
I: 0.000 0.500 0.000
I: 0.500 0.000 0.000
N: 0.000 0.000 0.500

Properties
Volume (Å³/atom): 25.6
Magnetization (μB per formula unit): 0.00
N(E_F) (states/eV/f.u.): 3.28
ρ (Mg/m³): 5.56



(ii) is favored, and the nearest alternative lies 1285 meV/atom above it.



(i)
## TlCdIN2 (PBE)

Data for a relaxed structure of TlCdIN2.

Cell: 4.709 4.709 6.346 Å, 90.00 90.00 90.00°
Element x y z (fractional)
Tl: 0.000 0.000 0.000
Cd: 0.500 0.500 0.500
I: 0.500 0.500 0.000
N: 0.000 0.500 0.500
N: 0.500 0.000 0.500

Properties
Volume (Å³/atom): 28.2
Magnetization (μB per formula unit): 3.99
N(E_F) (states/eV/f.u.): 1.14
ρ (Mg/m³): 5.57



(ii)
## TlCdIN2 (PBE)

Data for a relaxed structure of TlCdIN2.

Cell: 4.411 4.411 7.260 Å, 90.00 90.00 90.00°
Element x y z (fractional)
Tl: 0.000 0.000 0.000
Cd: 0.500 0.500 0.500
I: 0.000 0.000 0.500
N: 0.000 0.500 0.000
N: 0.500 0.000 0.000

Properties
Volume (Å³/atom): 28.3
Magnetization (μB per formula unit): 2.75
N(E_F) (states/eV/f.u.): 3.43
ρ (Mg/m³): 5.54



(i) is favored, and the nearest alternative lies 255 meV/atom above it.



(i)
## VCdI2N (PBE)

Data for a relaxed structure of VCdI2N.

Cell: 5.698 5.698 3.719 Å, 90.00 90.00 90.00°
Element x y z (fractional)
V: 0.000 0.000 0.000
Cd: 0.500 0.500 0.500
I: 0.000 0.500 0.000
I: 0.500 0.000 0.000
N: 0.000 0.000 0.500

Properties
Volume (Å³/atom): 24.1
Magnetization (μB per formula unit): 0.99
N(E_F) (states/eV/f.u.): 2.23
ρ (Mg/m³): 5.93



(ii)
## VCdI2N (PBE)

Data for a relaxed structure of VCdI2N.

Cell: 6.021 6.021 4.116 Å, 90.00 90.00 90.00°
Element x y z (fractional)
V: 0.000 0.000 0.000
Cd: 0.500 0.500 0.500
I: 0.000 0.500 0.500
I: 0.500 0.000 0.500
N: 0.500 0.500 0.000

Properties
Volume (Å³/atom): 29.8
Magnetization (μB per formula unit): 2.42
N(E_F) (states/eV/f.u.): 7.29
ρ (Mg/m³): 4.80



(i) is favored, and the nearest alternative lies 1304 meV/atom above it.